i) RbIn6Hg, relaxed, DFT PBE-GGA; M_tot = 0.00 μB/f.u.
1.0
5.2548 0.0000 0.0000
0.0000 5.2548 0.0000
0.0000 0.0000 9.0741
Rb In Hg
1 6 1
Direct
0.0000 0.0000 0.0000 Rb
0.0000 0.5000 0.3276 In
0.0000 0.5000 0.6724 In
0.5000 0.0000 0.3276 In
0.5000 0.0000 0.6724 In
0.5000 0.5000 0.1616 In
0.5000 0.5000 0.8384 In
0.0000 0.0000 0.5000 Hg



ii) RbIn6Hg, relaxed, DFT PBE-GGA; M_tot = 0.00 μB/f.u.
1.0
2.6566 1.5338 10.4146
-2.6566 1.5338 10.4146
0.0000 -3.0676 10.4146
Rb In Hg
1 6 1
Direct
0.0000 0.0000 0.0000 Rb
0.1335 0.1335 0.1335 In
0.2393 0.2393 0.2393 In
0.4056 0.4056 0.4056 In
0.5944 0.5944 0.5944 In
0.7607 0.7607 0.7607 In
0.8665 0.8665 0.8665 In
0.5000 0.5000 0.5000 Hg



Most stable pick: i). Distance to second place: 4.4 kJ/mol of atoms.



i) RbInHg6, relaxed, DFT PBE-GGA; M_tot = 0.00 μB/f.u.
1.0
5.0326 2.9056 2.8049
-5.0326 2.9056 2.8049
0.0000 -5.8111 2.8049
Rb In Hg
1 1 6
Direct
0.0000 0.0000 0.0000 Rb
0.5000 0.5000 0.5000 In
0.0458 0.2905 0.5676 Hg
0.2905 0.5676 0.0458 Hg
0.4324 0.9542 0.7095 Hg
0.5676 0.0458 0.2905 Hg
0.7095 0.4324 0.9542 Hg
0.9542 0.7095 0.4324 Hg



ii) RbInHg6, relaxed, DFT PBE-GGA; M_tot = 0.00 μB/f.u.
1.0
5.0108 0.0000 0.0000
0.0000 5.0108 0.0000
0.0000 0.0000 10.0851
Rb In Hg
1 1 6
Direct
0.0000 0.0000 0.0000 Rb
0.0000 0.0000 0.5000 In
0.0000 0.5000 0.3235 Hg
0.0000 0.5000 0.6765 Hg
0.5000 0.0000 0.3235 Hg
0.5000 0.0000 0.6765 Hg
0.5000 0.5000 0.1484 Hg
0.5000 0.5000 0.8516 Hg



Most stable pick: ii). Distance to second place: 1.8 kJ/mol of atoms.



i) RbIn3Hg2, relaxed, DFT PBE-GGA; M_tot = 0.00 μB/f.u.
1.0
9.5557 -2.5591 0.0000
9.5557 2.5591 0.0000
-3.4667 0.0000 7.5785
Rb In Hg
2 6 4
Direct
0.1082 0.1082 0.0653 Rb
0.8918 0.8918 0.9347 Rb
0.0843 0.0843 0.5173 In
0.3010 0.3010 0.5365 In
0.3565 0.3565 0.2298 In
0.6435 0.6435 0.7702 In
0.6990 0.6990 0.4635 In
0.9157 0.9157 0.4827 In
0.2467 0.2467 0.8418 Hg
0.4804 0.4804 0.7301 Hg
0.5196 0.5196 0.2699 Hg
0.7533 0.7533 0.1582 Hg



ii) RbIn3Hg2, relaxed, DFT PBE-GGA; M_tot = 0.00 μB/f.u.
1.0
6.4972 0.0000 0.0000
-3.2486 5.6267 0.0000
0.0000 0.0000 5.0699
Rb In Hg
1 3 2
Direct
0.0000 0.0000 0.0000 Rb
0.0000 0.5000 0.5000 In
0.5000 0.0000 0.5000 In
0.5000 0.5000 0.5000 In
0.3333 0.6667 0.0000 Hg
0.6667 0.3333 0.0000 Hg



Most stable pick: i). Distance to second place: 1.2 kJ/mol of atoms.



i) RbInSnHg2, relaxed, DFT PBE-GGA; M_tot = 0.00 μB/f.u.
1.0
5.9658 0.0000 0.0000
0.0000 5.9658 0.0000
0.0000 0.0000 5.8101
Rb In Sn Hg
1 1 1 2
Direct
0.0000 0.0000 0.0000 Rb
0.5000 0.5000 0.0000 In
0.5000 0.5000 0.5000 Sn
0.0000 0.5000 0.5000 Hg
0.5000 0.0000 0.5000 Hg



ii) RbInSnHg2, relaxed, DFT PBE-GGA; M_tot = 0.00 μB/f.u.
1.0
-2.4608 2.4608 6.5270
2.4608 -2.4608 6.5270
2.4608 2.4608 -6.5270
Rb In Sn Hg
1 1 1 2
Direct
0.0000 0.0000 0.0000 Rb
0.7500 0.2500 0.5000 In
0.2500 0.7500 0.5000 Sn
0.3884 0.3884 0.0000 Hg
0.6116 0.6116 0.0000 Hg



Most stable pick: ii). Distance to second place: 16.1 kJ/mol of atoms.